# Sr3PaMn2O9

A relaxed structure of Sr3PaMn2O9 (GGA+U, the Alexandria database).

Calculated values
Fermi-level density of states = 3.1 states/eV per cell
Energy = -112.86 eV/cell
Space-group type = No. 164

POSCAR file:
```
Sr3PaMn2O9
1.0
5.706 0.000 0.000
-2.853 4.942 0.000
0.000 0.000 7.232
Sr Pa Mn O
3 1 2 9
Cartesian
0.000 0.000 0.000
0.000 3.295 5.191
2.853 1.647 2.041
0.000 0.000 3.616
0.000 3.295 1.139
2.853 1.647 6.093
-1.427 2.471 0.000
0.000 1.688 2.293
-1.391 4.098 2.293
1.462 0.844 4.939
2.853 0.000 0.000
1.427 2.471 0.000
1.391 4.098 2.293
4.245 0.844 4.939
2.853 3.254 4.939
```